SrTcO2 SCAN single point on PBEsol structure; V = 15.3 Å³ per atom; calculated total energy = -74.6 eV per cell; uncorrected formation energy = -1198 meV/atom; size of the total moment = 1.3 μB/cell
1.0
-0.2044 0.6891 3.3479
1.8780 -1.7906 2.2343
5.0260 3.6323 1.3104
O Sr Tc
2 1 1
Cartesian
3.3045 2.0914 1.5225
3.3950 0.4394 5.3703
0.0000 0.0000 0.0000
3.3498 1.2654 3.4464

KSr2Re SCAN single point on PBEsol structure; V = 40.2 Å³ per atom; calculated total energy = -119.3 eV per cell; size of the total moment = 2.4 μB/cell
1.0
-0.3113 -4.1599 -0.2513
3.9740 -0.2204 -1.2744
2.7646 -0.7354 8.7482
Sr K Re
2 1 1
Cartesian
2.3330 -2.3236 0.8246
2.5435 -0.6765 8.0484
1.5356 -0.4085 4.8592
4.1621 -2.8101 6.6126

Cr2SiOs SCAN single point on PBEsol structure; V = 12.2 Å³ per atom; calculated total energy = -119.1 eV per cell; uncorrected formation energy = -121 meV/atom; size of the total moment = 0.0 μB/cell
1.0
2.6834 0.0000 0.0359
0.0000 3.7751 0.0000
-0.0589 0.0000 4.8095
Os Cr Si
1 2 1
Cartesian
1.3417 1.8876 0.0180
-0.0427 0.0000 3.5096
2.6672 0.0000 1.3359
1.3123 1.8876 2.4227

Na3ZrRe SCAN single point on PBEsol structure; V = 39.6 Å³ per atom; calculated total energy = -101.8 eV per cell; size of the total moment = 9.0 μB/cell; relative energy among the computed polymorphs = 546.1 meV/atom
1.0
5.8283 0.0000 0.0000
0.0000 5.8283 0.0000
0.0000 0.0000 5.8283
Na Zr Re
3 1 1
Cartesian
2.9141 0.0000 0.0000
0.0000 0.0000 2.9141
0.0000 2.9141 0.0000
0.0000 0.0000 0.0000
2.9141 2.9141 2.9141

> Which value of size of the total moment does entry 1 give?

1.3 μB/cell

Please write out number 3 again, unchanged.
Cr2SiOs SCAN single point on PBEsol structure; V = 12.2 Å³ per atom; calculated total energy = -119.1 eV per cell; uncorrected formation energy = -121 meV/atom; size of the total moment = 0.0 μB/cell
1.0
2.6834 0.0000 0.0359
0.0000 3.7751 0.0000
-0.0589 0.0000 4.8095
Os Cr Si
1 2 1
Cartesian
1.3417 1.8876 0.0180
-0.0427 0.0000 3.5096
2.6672 0.0000 1.3359
1.3123 1.8876 2.4227